A relaxed TaNi2Se crystal, computed with PBE.

Cell: 3.2062 3.2062 5.5203 Å, 90.00 90.00 90.00°
Atoms (fractional coordinates):
Ta: 0.0000 0.0000 0.0000
Ni: 0.0000 0.0000 0.4600
Ni: 0.5000 0.5000 0.2650
Se: 0.5000 0.5000 0.7220

Computed properties:
* space-group type: P4mm
* formation energy (no corrections): -0.07 eV/atom

***

A relaxed Ta2NiSe crystal, computed with PBE.

Cell: 6.9665 6.9665 6.9665 Å, 132.97 132.97 68.70°
Atoms (fractional coordinates):
Ta: 0.0849 0.6250 0.9599
Ta: 0.3750 0.3349 0.4599
Ta: 0.6651 0.1250 0.0401
Ta: 0.8750 0.9151 0.5401
Ni: 0.0000 0.0000 0.0000
Ni: 0.7500 0.2500 0.5000
Se: 0.2500 0.7500 0.5000
Se: 0.5000 0.5000 0.0000

Computed properties:
* space-group type: I-42d
* formation energy (no corrections): 0.58 eV/atom

***

A relaxed TaNiSe2 crystal, computed with PBE.

Cell: 3.2908 3.2677 6.2558 Å, 90.00 101.71 90.00°
Atoms (fractional coordinates):
Ta: 0.0000 0.0000 0.0000
Ni: 0.0000 0.0000 0.5000
Se: 0.3767 0.5000 0.7532
Se: 0.6233 0.5000 0.2468

Computed properties:
* space-group type: P2/m
* formation energy (no corrections): -0.22 eV/atom

***

A relaxed TaNiSe2 crystal, computed with PBE.

Cell: 8.1033 6.0813 7.7730 Å, 90.00 117.57 90.00°
Atoms (fractional coordinates):
Ta: 0.0190 0.0192 0.2066
Ta: 0.0190 0.4808 0.7066
Ta: 0.9810 0.5192 0.2934
Ta: 0.9810 0.9808 0.7934
Ni: 0.1207 0.6420 0.0582
Ni: 0.1207 0.8580 0.5582
Ni: 0.8793 0.1420 0.4418
Ni: 0.8793 0.3580 0.9418
Se: 0.2045 0.2463 0.0690
Se: 0.2045 0.2537 0.5690
Se: 0.2959 0.7487 0.3916
Se: 0.2959 0.7513 0.8916
Se: 0.7041 0.2487 0.1084
Se: 0.7041 0.2513 0.6084
Se: 0.7955 0.7463 0.4310
Se: 0.7955 0.7537 0.9310

Computed properties:
* space-group type: P2_1/c
* formation energy (no corrections): -0.60 eV/atom

***

A relaxed TaNi2Se6 crystal, computed with PBE.

Cell: 7.3485 7.3485 8.3009 Å, 108.71 108.71 27.98°
Atoms (fractional coordinates):
Ta: 0.0000 0.0000 0.0000
Ni: 0.3359 0.3359 0.6744
Ni: 0.6641 0.6641 0.3256
Se: 0.1630 0.1630 0.5191
Se: 0.1907 0.1907 0.1411
Se: 0.4813 0.4813 0.2171
Se: 0.5187 0.5187 0.7829
Se: 0.8093 0.8093 0.8589
Se: 0.8370 0.8370 0.4809

Computed properties:
* excess energy over the best structure of this formula in the dataset: 0 meV/atom
* space-group type: C2/m
* formation energy (no corrections): -0.39 eV/atom

***

A relaxed TaNiSe2 crystal, computed with PBE.

Cell: 4.5905 4.5905 5.1072 Å, 93.41 93.41 42.54°
Atoms (fractional coordinates):
Ta: 0.0000 0.0000 0.0000
Ni: 0.5000 0.5000 0.5000
Se: 0.3027 0.3027 0.7714
Se: 0.6973 0.6973 0.2286

Computed properties:
* space-group type: C2/m
* formation energy (no corrections): -0.13 eV/atom

***

A relaxed TaNiSe2 crystal, computed with PBE.

Cell: 7.5016 7.5016 7.5016 Å, 153.68 153.63 37.60°
Atoms (fractional coordinates):
Ta: 0.0000 0.0000 0.0000
Ni: 0.3635 0.8635 0.5000
Se: 0.5874 0.5874 0.0000
Se: 0.8546 0.3546 0.5000

Computed properties:
* space-group type: Imm2
* formation energy (no corrections): -0.40 eV/atom

***

A relaxed TaNiSe crystal, computed with PBE.

Cell: 10.9790 10.9790 10.9790 Å, 18.53 18.53 18.53°
Atoms (fractional coordinates):
Ta: 0.0610 0.0610 0.0610
Ta: 0.9390 0.9390 0.9390
Ni: 0.3511 0.3511 0.3511
Ni: 0.6489 0.6489 0.6489
Se: 0.2208 0.2208 0.2208
Se: 0.7792 0.7792 0.7792

Computed properties:
* excess energy over the best structure of this formula in the dataset: 0 meV/atom
* space-group type: R-3m
* formation energy (no corrections): -0.27 eV/atom

***

A relaxed TaNiSe crystal, computed with PBE.

Cell: 3.2731 3.2731 5.7600 Å, 90.00 90.00 120.00°
Atoms (fractional coordinates):
Ta: 0.0000 0.0000 0.0000
Ni: 0.6667 0.3333 0.2926
Se: 0.3333 0.6667 0.6854

Computed properties:
* excess energy over the best structure of this formula in the dataset: 224 meV/atom
* space-group type: P3m1
* formation energy (no corrections): -0.04 eV/atom

***

A relaxed TaNi2Se crystal, computed with PBE.

Cell: 3.1703 3.4187 5.6187 Å, 90.00 106.29 90.00°
Atoms (fractional coordinates):
Ta: 0.0000 0.0000 0.0000
Ni: 0.2297 0.0000 0.4641
Ni: 0.6307 0.5000 0.2626
Se: 0.3830 0.5000 0.7655

Computed properties:
* space-group type: Pm
* formation energy (no corrections): -0.09 eV/atom

***

A relaxed TaNiSe2 crystal, computed with PBE.

Cell: 3.8222 3.8222 6.9450 Å, 90.24 90.24 60.01°
Atoms (fractional coordinates):
Ta: 0.0000 0.0000 0.0000
Ni: 0.6675 0.6675 0.1662
Se: 0.3347 0.3347 0.2819
Se: 0.6656 0.6656 0.7813

Computed properties:
* space-group type: Cm
* formation energy (no corrections): -0.46 eV/atom

***

A relaxed Ta2NiSe crystal, computed with PBE.

Cell: 4.5513 4.5513 3.0387 Å, 90.00 90.00 96.41°
Atoms (fractional coordinates):
Ta: 0.0000 0.5000 0.0000
Ta: 0.5000 0.0000 0.0000
Ni: 0.0000 0.0000 0.5000
Se: 0.5000 0.5000 0.5000

Computed properties:
* space-group type: Cmmm
* formation energy (no corrections): -0.04 eV/atom

***

A relaxed Ta3Ni5Se12 crystal, computed with PBE.

Cell: 12.6437 12.6437 12.6437 Å, 109.47 109.47 109.47°
Atoms (fractional coordinates):
Ta: 0.1250 0.2500 0.3750
Ta: 0.1250 0.3750 0.7500
Ta: 0.2500 0.3750 0.1250
Ta: 0.2500 0.8750 0.6250
Ta: 0.3750 0.1250 0.2500
Ta: 0.3750 0.7500 0.1250
Ta: 0.6250 0.2500 0.8750
Ta: 0.6250 0.8750 0.7500
Ta: 0.7500 0.1250 0.3750
Ta: 0.7500 0.6250 0.8750
Ta: 0.8750 0.6250 0.2500
Ta: 0.8750 0.7500 0.6250
Ni: 0.0000 0.0000 0.0000
Ni: 0.0000 0.0000 0.5000
Ni: 0.0000 0.5000 0.0000
Ni: 0.0000 0.5000 0.5000
Ni: 0.1250 0.7500 0.8750
Ni: 0.1250 0.8750 0.2500
Ni: 0.2500 0.1250 0.8750
Ni: 0.2500 0.6250 0.3750
Ni: 0.3750 0.2500 0.6250
Ni: 0.3750 0.6250 0.7500
Ni: 0.5000 0.0000 0.0000
Ni: 0.5000 0.0000 0.5000
Ni: 0.5000 0.5000 0.0000
Ni: 0.5000 0.5000 0.5000
Ni: 0.6250 0.3750 0.2500
Ni: 0.6250 0.7500 0.3750
Ni: 0.7500 0.3750 0.6250
Ni: 0.7500 0.8750 0.1250
Ni: 0.8750 0.1250 0.7500
Ni: 0.8750 0.2500 0.1250
Se: 0.0414 0.2164 0.1281
Se: 0.0414 0.3250 0.9133
Se: 0.0867 0.6281 0.4117
Se: 0.0867 0.9586 0.6750
Se: 0.0883 0.7164 0.6750
Se: 0.0883 0.8719 0.4133
Se: 0.1281 0.0414 0.2164
Se: 0.1281 0.5867 0.9117
Se: 0.1750 0.2164 0.5883
Se: 0.1750 0.4586 0.5867
Se: 0.2164 0.1281 0.0414
Se: 0.2164 0.5883 0.1750
Se: 0.2836 0.3250 0.9117
Se: 0.2836 0.4586 0.3719
Se: 0.3250 0.9117 0.2836
Se: 0.3250 0.9133 0.0414
Se: 0.3719 0.2836 0.4586
Se: 0.3719 0.5883 0.9133
Se: 0.4117 0.0867 0.6281
Se: 0.4117 0.8250 0.7836
Se: 0.4133 0.0883 0.8719
Se: 0.4133 0.8250 0.5414
Se: 0.4586 0.3719 0.2836
Se: 0.4586 0.5867 0.1750
Se: 0.5414 0.4133 0.8250
Se: 0.5414 0.6281 0.7164
Se: 0.5867 0.1750 0.4586
Se: 0.5867 0.9117 0.1281
Se: 0.5883 0.1750 0.2164
Se: 0.5883 0.9133 0.3719
Se: 0.6281 0.4117 0.0867
Se: 0.6281 0.7164 0.5414
Se: 0.6750 0.0867 0.9586
Se: 0.6750 0.0883 0.7164
Se: 0.7164 0.5414 0.6281
Se: 0.7164 0.6750 0.0883
Se: 0.7836 0.4117 0.8250
Se: 0.7836 0.8719 0.9586
Se: 0.8250 0.5414 0.4133
Se: 0.8250 0.7836 0.4117
Se: 0.8719 0.4133 0.0883
Se: 0.8719 0.9586 0.7836
Se: 0.9117 0.1281 0.5867
Se: 0.9117 0.2836 0.3250
Se: 0.9133 0.0414 0.3250
Se: 0.9133 0.3719 0.5883
Se: 0.9586 0.6750 0.0867
Se: 0.9586 0.7836 0.8719

Computed properties:
* space-group type: Ia-3d
* formation energy (no corrections): -0.30 eV/atom

***

A relaxed TaNiSe crystal, computed with PBE.

Cell: 4.9883 4.9883 4.9883 Å, 142.53 142.53 54.04°
Atoms (fractional coordinates):
Ta: 0.0000 0.0000 0.0000
Ni: 0.6637 0.6637 0.0000
Se: 0.3246 0.3246 0.0000

Computed properties:
* excess energy over the best structure of this formula in the dataset: 155 meV/atom
* space-group type: I4mm
* formation energy (no corrections): -0.11 eV/atom

***

A relaxed TaNi2Se crystal, computed with PBE.

Cell: 8.2129 8.2129 8.2129 Å, 20.36 20.36 20.36°
Atoms (fractional coordinates):
Ta: 0.0000 0.0000 0.0000
Ni: 0.2456 0.2456 0.2456
Ni: 0.7544 0.7544 0.7544
Se: 0.5000 0.5000 0.5000

Computed properties:
* space-group type: R-3m
* formation energy (no corrections): 0.11 eV/atom

***

A relaxed TaNi2Se crystal, computed with PBE.

Cell: 5.4423 5.4423 5.4423 Å, 102.76 102.76 123.93°
Atoms (fractional coordinates):
Ta: 0.0000 0.0000 0.0000
Ta: 0.7500 0.2500 0.5000
Ni: 0.1502 0.6250 0.0252
Ni: 0.3750 0.4002 0.5252
Ni: 0.5998 0.1250 0.9748
Ni: 0.8750 0.8498 0.4748
Se: 0.2500 0.7500 0.5000
Se: 0.5000 0.5000 0.0000

Computed properties:
* space-group type: I-42d
* formation energy (no corrections): 0.00 eV/atom

***

A relaxed Ta2NiSe crystal, computed with PBE.

Cell: 3.4538 3.6069 5.3318 Å, 90.00 108.80 90.00°
Atoms (fractional coordinates):
Ta: 0.0000 0.0000 0.0000
Ta: 0.3358 0.5000 0.6715
Ni: 0.5933 0.5000 0.1895
Se: 0.7360 0.0000 0.4693

Computed properties:
* space-group type: Pm
* formation energy (no corrections): -0.16 eV/atom

***

A relaxed TaNi3Se crystal, computed with PBE.

Cell: 4.5755 4.5755 4.5755 Å, 90.00 90.00 90.00°
Atoms (fractional coordinates):
Ta: 0.0000 0.0000 0.0000
Ni: 0.0000 0.0000 0.5000
Ni: 0.0000 0.5000 0.0000
Ni: 0.5000 0.0000 0.0000
Se: 0.5000 0.5000 0.5000

Computed properties:
* space-group type: Pm-3m
* formation energy (no corrections): 1.32 eV/atom

***

A relaxed TaNiSe6 crystal, computed with PBE.

Cell: 6.0612 6.1559 6.1668 Å, 69.68 61.94 62.60°
Atoms (fractional coordinates):
Ta: 0.0000 0.0000 0.0000
Ni: 0.5000 0.5000 0.5000
Se: 0.0438 0.7341 0.7485
Se: 0.3137 0.1861 0.5806
Se: 0.4171 0.6796 0.1009
Se: 0.5829 0.3204 0.8991
Se: 0.6863 0.8139 0.4194
Se: 0.9562 0.2659 0.2515

Computed properties:
* space-group type: P-1
* formation energy (no corrections): -0.21 eV/atom

***

A relaxed Ta2NiSe crystal, computed with PBE.

Cell: 3.2682 3.3392 5.9703 Å, 90.00 90.00 90.00°
Atoms (fractional coordinates):
Ta: 0.0000 0.0000 0.0000
Ta: 0.5000 0.5000 0.3001
Ni: 0.0000 0.0000 0.4840
Se: 0.5000 0.5000 0.7695

Computed properties:
* space-group type: Pmm2
* formation energy (no corrections): -0.12 eV/atom